Arrangement one

PmNd3Au2 | PBE | relaxed

CIF file:
```
data_PmNd3Au2
_chemical_formula_sum 'Pm2 Nd6 Au4'
_symmetry_space_group_name_H-M 'P m c 21'
_symmetry_Int_Tables_number 26
_cell_length_a 3.9113
_cell_length_b 10.1273
_cell_length_c 9.1216
_cell_angle_alpha 90.00
_cell_angle_beta 90.00
_cell_angle_gamma 90.00
loop_
_symmetry_equiv_pos_as_xyz
'x,y,z'
'-x,-y,z+1/2'
'-x,y,z'
'x,-y,z+1/2'
loop_
_atom_site_label
_atom_site_type_symbol
_atom_site_fract_x
_atom_site_fract_y
_atom_site_fract_z
Pm1 Pm 0.0000 0.0722 0.0000
Nd1 Nd 0.0000 0.2803 0.6526
Nd2 Nd 0.5000 0.2189 0.3290
Nd3 Nd 0.5000 0.4250 0.9808
Au1 Au 0.0000 0.4328 0.2605
Au2 Au 0.5000 0.0664 0.7207
```

Arrangement two

PmNd3Au2 | PBE | relaxed

CIF file:
```
data_PmNd3Au2
_chemical_formula_sum 'Pm4 Nd12 Au8'
_symmetry_space_group_name_H-M 'C 1 2/m 1'
_symmetry_Int_Tables_number 12
_cell_length_a 17.3617
_cell_length_b 4.7077
_cell_length_c 9.9071
_cell_angle_alpha 90.00
_cell_angle_beta 118.47
_cell_angle_gamma 90.00
loop_
_symmetry_equiv_pos_as_xyz
'x,y,z'
'-x,-y,-z'
'-x,y,-z'
'x,-y,z'
'x+1/2,y+1/2,z'
'-x+1/2,-y+1/2,-z'
'-x+1/2,y+1/2,-z'
'x+1/2,-y+1/2,z'
loop_
_atom_site_label
_atom_site_type_symbol
_atom_site_fract_x
_atom_site_fract_y
_atom_site_fract_z
Pm1 Pm 0.1117 0.0000 0.0279
Nd1 Nd 0.0550 0.0000 0.3887
Nd2 Nd 0.1347 0.5000 0.7258
Nd3 Nd 0.2023 0.5000 0.3539
Au1 Au 0.0075 0.5000 0.1547
Au2 Au 0.2473 0.5000 0.0898
```

Of them, the most stable is arrangement one and the least stable is arrangement two.

Arrangement one

PmNd2Au3 | PBE | relaxed

CIF file:
```
data_PmNd2Au3
_chemical_formula_sum 'Pm4 Nd8 Au12'
_symmetry_space_group_name_H-M 'C m c m'
_symmetry_Int_Tables_number 63
_symmetry_space_group_name_Hall '-C 2c 2'
_cell_length_a 4.6116
_cell_length_b 21.9534
_cell_length_c 6.4733
_cell_angle_alpha 90.00
_cell_angle_beta 90.00
_cell_angle_gamma 90.00
loop_
_atom_site_label
_atom_site_type_symbol
_atom_site_fract_x
_atom_site_fract_y
_atom_site_fract_z
Pm1 Pm 0.0000 0.1798 0.2500
Nd1 Nd 0.0000 0.3555 0.2500
Nd2 Nd 0.0000 0.4707 0.7500
Au1 Au 0.0000 0.0682 0.5327
Au2 Au 0.0000 0.2347 0.7500
```

Arrangement two

PmNd2Au3 | PBE | relaxed

CIF file:
```
data_PmNd2Au3
_chemical_formula_sum 'Pm4 Nd8 Au12'
_symmetry_space_group_name_H-M 'C m m m'
_symmetry_Int_Tables_number 65
_symmetry_space_group_name_Hall '-C 2 2'
_cell_length_a 5.2686
_cell_length_b 15.8044
_cell_length_c 7.3660
_cell_angle_alpha 90.00
_cell_angle_beta 90.00
_cell_angle_gamma 90.00
loop_
_atom_site_label
_atom_site_type_symbol
_atom_site_fract_x
_atom_site_fract_y
_atom_site_fract_z
Pm1 Pm 0.0000 0.1667 0.0000
Nd1 Nd 0.0000 0.1665 0.5000
Nd2 Nd 0.0000 0.5000 0.0000
Nd3 Nd 0.0000 0.5000 0.5000
Au1 Au 0.0000 0.0000 0.2486
Au2 Au 0.0000 0.3324 0.2463
```

Of them, the most stable is arrangement two and the least stable is arrangement one.

Arrangement one

PmNdPtAu | PBE | relaxed

CIF file:
```
data_PmNdPtAu
_chemical_formula_sum 'Pm4 Nd4 Pt4 Au4'
_symmetry_space_group_name_H-M 'F -4 3 m'
_symmetry_Int_Tables_number 216
_symmetry_space_group_name_Hall 'F -4 2 3'
_cell_length_a 7.3041
_cell_length_b 7.3041
_cell_length_c 7.3041
_cell_angle_alpha 90.00
_cell_angle_beta 90.00
_cell_angle_gamma 90.00
loop_
_atom_site_label
_atom_site_type_symbol
_atom_site_fract_x
_atom_site_fract_y
_atom_site_fract_z
Pm1 Pm 0.0000 0.0000 0.0000
Nd1 Nd 0.0000 0.0000 0.5000
Pt1 Pt 0.2500 0.2500 0.2500
Au1 Au 0.2500 0.2500 0.7500
```

Arrangement two

PmNdPtAu | PBE | relaxed

CIF file:
```
data_PmNdPtAu
_chemical_formula_sum 'Pm2 Nd2 Pt2 Au2'
_symmetry_space_group_name_H-M 'A m m 2'
_symmetry_Int_Tables_number 38
_cell_length_a 4.6814
_cell_length_b 3.9171
_cell_length_c 10.9981
_cell_angle_alpha 90.00
_cell_angle_beta 90.00
_cell_angle_gamma 90.00
loop_
_symmetry_equiv_pos_as_xyz
'x,y,z'
'-x,-y,z'
'-x,y,z'
'x,-y,z'
'x,y+1/2,z+1/2'
'-x,-y+1/2,z+1/2'
'-x,y+1/2,z+1/2'
'x,-y+1/2,z+1/2'
loop_
_atom_site_label
_atom_site_type_symbol
_atom_site_fract_x
_atom_site_fract_y
_atom_site_fract_z
Pm1 Pm 0.0000 0.0000 0.0000
Nd1 Nd 0.5000 0.0000 0.2751
Pt1 Pt 0.5000 0.0000 0.5480
Au1 Au 0.0000 0.0000 0.7221
```

Of them, the most stable is arrangement two and the least stable is arrangement one.

Arrangement one

PmNdRhAu | PBE | relaxed

CIF file:
```
data_PmNdRhAu
_chemical_formula_sum 'Pm4 Nd4 Rh4 Au4'
_symmetry_space_group_name_H-M 'F -4 3 m'
_symmetry_Int_Tables_number 216
_symmetry_space_group_name_Hall 'F -4 2 3'
_cell_length_a 7.2412
_cell_length_b 7.2412
_cell_length_c 7.2412
_cell_angle_alpha 90.00
_cell_angle_beta 90.00
_cell_angle_gamma 90.00
loop_
_atom_site_label
_atom_site_type_symbol
_atom_site_fract_x
_atom_site_fract_y
_atom_site_fract_z
Pm1 Pm 0.0000 0.0000 0.0000
Nd1 Nd 0.0000 0.0000 0.5000
Rh1 Rh 0.2500 0.2500 0.7500
Au1 Au 0.2500 0.2500 0.2500
```

Arrangement two

PmNdRhAu | PBE | relaxed

CIF file:
```
data_PmNdRhAu
_chemical_formula_sum 'Pm2 Nd2 Rh2 Au2'
_symmetry_space_group_name_H-M 'A m m 2'
_symmetry_Int_Tables_number 38
_cell_length_a 4.6100
_cell_length_b 3.9467
_cell_length_c 10.7830
_cell_angle_alpha 90.00
_cell_angle_beta 90.00
_cell_angle_gamma 90.00
loop_
_symmetry_equiv_pos_as_xyz
'x,y,z'
'-x,-y,z'
'-x,y,z'
'x,-y,z'
'x,y+1/2,z+1/2'
'-x,-y+1/2,z+1/2'
'-x,y+1/2,z+1/2'
'x,-y+1/2,z+1/2'
loop_
_atom_site_label
_atom_site_type_symbol
_atom_site_fract_x
_atom_site_fract_y
_atom_site_fract_z
Pm1 Pm 0.0000 0.0000 0.0000
Nd1 Nd 0.5000 0.0000 0.7204
Rh1 Rh 0.5000 0.0000 0.4564
Au1 Au 0.0000 0.0000 0.2826
```

Of them, the most stable is arrangement two and the least stable is arrangement one.

Arrangement one

PmNdZnAu | PBE | relaxed

CIF file:
```
data_PmNdZnAu
_chemical_formula_sum 'Pm4 Nd4 Zn4 Au4'
_symmetry_space_group_name_H-M 'F -4 3 m'
_symmetry_Int_Tables_number 216
_symmetry_space_group_name_Hall 'F -4 2 3'
_cell_length_a 7.3917
_cell_length_b 7.3917
_cell_length_c 7.3917
_cell_angle_alpha 90.00
_cell_angle_beta 90.00
_cell_angle_gamma 90.00
loop_
_atom_site_label
_atom_site_type_symbol
_atom_site_fract_x
_atom_site_fract_y
_atom_site_fract_z
Pm1 Pm 0.0000 0.0000 0.0000
Nd1 Nd 0.0000 0.0000 0.5000
Zn1 Zn 0.2500 0.2500 0.7500
Au1 Au 0.2500 0.2500 0.2500
```

Arrangement two

PmNdZnAu | PBE | relaxed

CIF file:
```
data_PmNdZnAu
_chemical_formula_sum 'Pm1 Nd1 Zn1 Au1'
_symmetry_space_group_name_H-M 'P 4 m m'
_symmetry_Int_Tables_number 99
_cell_length_a 3.7251
_cell_length_b 3.7251
_cell_length_c 7.2141
_cell_angle_alpha 90.00
_cell_angle_beta 90.00
_cell_angle_gamma 90.00
loop_
_symmetry_equiv_pos_as_xyz
'x,y,z'
'-y,x,z'
'-x,-y,z'
'y,-x,z'
'-x,y,z'
'y,x,z'
'x,-y,z'
'-y,-x,z'
loop_
_atom_site_label
_atom_site_type_symbol
_atom_site_fract_x
_atom_site_fract_y
_atom_site_fract_z
Pm1 Pm 0.0000 0.0000 0.0000
Nd1 Nd 0.0000 0.0000 0.4944
Zn1 Zn 0.5000 0.5000 0.2442
Au1 Au 0.5000 0.5000 0.7528
```

Of them, the most stable is arrangement two and the least stable is arrangement one.

Arrangement one

Pr2NdAu | PBE | relaxed

CIF file:
```
data_Pr2NdAu
_chemical_formula_sum 'Pr2 Nd1 Au1'
_symmetry_space_group_name_H-M 'P 4/m m m'
_symmetry_Int_Tables_number 123
_symmetry_space_group_name_Hall '-P 4 2'
_cell_length_a 3.7711
_cell_length_b 3.7711
_cell_length_c 8.7289
_cell_angle_alpha 90.00
_cell_angle_beta 90.00
_cell_angle_gamma 90.00
loop_
_atom_site_label
_atom_site_type_symbol
_atom_site_fract_x
_atom_site_fract_y
_atom_site_fract_z
Pr1 Pr 0.0000 0.0000 0.2084
Nd1 Nd 0.5000 0.5000 0.5000
Au1 Au 0.5000 0.5000 0.0000
```

Arrangement two

Pr2NdAu | PBE | relaxed

CIF file:
```
data_Pr2NdAu
_chemical_formula_sum 'Pr8 Nd4 Au4'
_symmetry_space_group_name_H-M 'C m c m'
_symmetry_Int_Tables_number 63
_symmetry_space_group_name_Hall '-C 2c 2'
_cell_length_a 4.9980
_cell_length_b 12.2952
_cell_length_c 8.2028
_cell_angle_alpha 90.00
_cell_angle_beta 90.00
_cell_angle_gamma 90.00
loop_
_atom_site_label
_atom_site_type_symbol
_atom_site_fract_x
_atom_site_fract_y
_atom_site_fract_z
Pr1 Pr 0.0000 0.1403 0.0335
Nd1 Nd 0.0000 0.4511 0.2500
Au1 Au 0.0000 0.2946 0.7500
```

Of them, the most stable is arrangement two and the least stable is arrangement one.

Arrangement one

Pr2NdAu | PBE | relaxed

CIF file:
```
data_Pr2NdAu
_chemical_formula_sum 'Pr6 Nd3 Au3'
_symmetry_space_group_name_H-M 'R -3 m'
_symmetry_Int_Tables_number 166
_symmetry_space_group_name_Hall '-R 3 2"'
_cell_length_a 3.6602
_cell_length_b 3.6602
_cell_length_c 34.3783
_cell_angle_alpha 90.00
_cell_angle_beta 90.00
_cell_angle_gamma 120.00
loop_
_atom_site_label
_atom_site_type_symbol
_atom_site_fract_x
_atom_site_fract_y
_atom_site_fract_z
Pr1 Pr 0.0000 0.0000 0.1010
Nd1 Nd 0.0000 0.0000 0.0000
Au1 Au 0.0000 0.0000 0.5000
```

Arrangement two

Pr2NdAu | PBE | relaxed

CIF file:
```
data_Pr2NdAu
_chemical_formula_sum 'Pr6 Nd3 Au3'
_symmetry_space_group_name_H-M 'R 3 m'
_symmetry_Int_Tables_number 160
_symmetry_space_group_name_Hall 'R 3 -2"'
_cell_length_a 3.8689
_cell_length_b 3.8689
_cell_length_c 30.6923
_cell_angle_alpha 90.00
_cell_angle_beta 90.00
_cell_angle_gamma 120.00
loop_
_atom_site_label
_atom_site_type_symbol
_atom_site_fract_x
_atom_site_fract_y
_atom_site_fract_z
Pr1 Pr 0.0000 0.0000 0.0000
Pr2 Pr 0.0000 0.0000 0.1940
Nd1 Nd 0.0000 0.0000 0.7641
Au1 Au 0.0000 0.0000 0.5970
```

Arrangement three

Pr2NdAu | PBE | relaxed

CIF file:
```
data_Pr2NdAu
_chemical_formula_sum 'Pr2 Nd1 Au1'
_symmetry_space_group_name_H-M 'P 4/m m m'
_symmetry_Int_Tables_number 123
_symmetry_space_group_name_Hall '-P 4 2'
_cell_length_a 5.6068
_cell_length_b 5.6068
_cell_length_c 3.7399
_cell_angle_alpha 90.00
_cell_angle_beta 90.00
_cell_angle_gamma 90.00
loop_
_atom_site_label
_atom_site_type_symbol
_atom_site_fract_x
_atom_site_fract_y
_atom_site_fract_z
Pr1 Pr 0.0000 0.5000 0.0000
Nd1 Nd 0.0000 0.0000 0.5000
Au1 Au 0.5000 0.5000 0.5000
```

Of them, the most stable is arrangement two and the least stable is arrangement one.

Arrangement one

Pr2NdAu3 | PBE | relaxed

CIF file:
```
data_Pr2NdAu3
_chemical_formula_sum 'Pr8 Nd4 Au12'
_symmetry_space_group_name_H-M 'I m m a'
_symmetry_Int_Tables_number 74
_symmetry_space_group_name_Hall '-I 2b 2'
_cell_length_a 7.6174
_cell_length_b 10.6786
_cell_length_c 9.6197
_cell_angle_alpha 90.00
_cell_angle_beta 90.00
_cell_angle_gamma 90.00
loop_
_atom_site_label
_atom_site_type_symbol
_atom_site_fract_x
_atom_site_fract_y
_atom_site_fract_z
Pr1 Pr 0.0000 0.0267 0.2050
Nd1 Nd 0.0000 0.2500 0.5104
Au1 Au 0.1960 0.0000 0.5000
Au2 Au 0.2500 0.2500 0.2500
```

Arrangement two

Pr2NdAu3 | PBE | relaxed

CIF file:
```
data_Pr2NdAu3
_chemical_formula_sum 'Pr8 Nd4 Au12'
_symmetry_space_group_name_H-M 'C m m m'
_symmetry_Int_Tables_number 65
_symmetry_space_group_name_Hall '-C 2 2'
_cell_length_a 5.3078
_cell_length_b 15.9070
_cell_length_c 7.4156
_cell_angle_alpha 90.00
_cell_angle_beta 90.00
_cell_angle_gamma 90.00
loop_
_atom_site_label
_atom_site_type_symbol
_atom_site_fract_x
_atom_site_fract_y
_atom_site_fract_z
Pr1 Pr 0.0000 0.0000 0.0000
Pr2 Pr 0.0000 0.0000 0.5000
Pr3 Pr 0.0000 0.3335 0.0000
Nd1 Nd 0.0000 0.3333 0.5000
Au1 Au 0.0000 0.1677 0.2538
Au2 Au 0.0000 0.5000 0.2515
```

Of them, the most stable is arrangement two and the least stable is arrangement one.